(1)
Below is an optimized crystal structure of CsTcCI2, with properties calculated at the GGA-PBE level.

For the total energy, the calculation gives -2.99 eV/atom. Its volume is 155.9 Å³/f.u. The value obtained for the raw formation energy is 1.720 eV/atom. The total magnetization comes out at 4.58 μB per cell.

It has space group P4/mmm (No. 123), with a = 5.375 Å, b = 5.375 Å, c = 5.396 Å, α = 90.00°, β = 90.00° and γ = 90.00°. Symmetry generates all atoms from Cs at (0.000, 0.000, 0.000), Tc at (0.500, 0.500, 0.000), C at (0.000, 0.000, 0.500) and I at (0.000, 0.500, 0.500).

(2)
Below is an optimized crystal structure of CsTe2CI, with properties calculated at the GGA-PBE level.

For the total energy, the calculation gives -3.04 eV/atom. Its volume is 209.7 Å³/f.u. The value obtained for the raw formation energy is 0.547 eV/atom. The total magnetization comes out at 0.40 μB per cell.

It has space group P4/mmm (No. 123), with a = 4.852 Å, b = 4.852 Å, c = 8.907 Å, α = 90.00°, β = 90.00° and γ = 90.00°. Symmetry generates all atoms from Cs at (0.000, 0.000, 0.000), Te at (0.000, 0.500, 0.500), C at (0.500, 0.500, 0.500) and I at (0.500, 0.500, 0.000).

Which value of total energy does entry 2 give? -3.04 eV/atom